The following is a PBE calculation of an optimized crystal structure of RbAg2Au, from Alexandria via LeMat-Bulk.

Geometry as POSCAR:
```
RbAg2Au
1.0
0.000 3.667 3.667
3.667 0.000 3.667
3.667 3.667 0.000
Rb Ag Au
1 2 1
Cartesian
0.000 0.000 0.000
1.834 1.834 1.834
5.501 5.501 5.501
3.667 3.667 3.667
```

Calculated values
- energy relative to the elements (kJ per mole of atoms) = 27.8
- energy relative to the lowest polymorph listed for this composition (eV/atom) = 0.364
- density of states at the Fermi level (states/eV/atom) = 0.350
- raw total energy (eV/atom) = -2.199
- total magnetic moment (μB/f.u.) = 0.0
- SG = Fm-3m